1.
This record from Alexandria describes a geometry-optimized RbScCo2F8 structure. The functional is PBE+U.

a = 4.768 Å, b = 4.928 Å, c = 8.496 Å
α = 95.20°, β = 92.93°, γ = 91.50°
Space group P-1 (No. 2)
Asymmetric unit:
Rb1 0.000 0.000 0.000 (multiplicity 1)
Sc1 0.000 0.000 0.500 (multiplicity 1)
Co1 0.493 0.537 0.689 (multiplicity 2)
F1 0.165 0.213 0.334 (multiplicity 2)
F2 0.206 0.232 0.682 (multiplicity 2)
F3 0.319 0.716 0.489 (multiplicity 2)
F4 0.445 0.714 0.888 (multiplicity 2)

Output
Uncorrected energy = -5.49 eV/atom
Theoretical density = 3.35 g/cm3


2.
This record from Alexandria describes a geometry-optimized RbCo2SiF structure. The functional is PBE+U.

a = 4.282 Å, b = 4.282 Å, c = 5.806 Å
α = 90.00°, β = 90.00°, γ = 90.00°
Space group P4/mmm (No. 123)
Asymmetric unit:
Rb1 0.000 0.000 0.000 (multiplicity 1)
Co1 0.000 0.500 0.500 (multiplicity 2)
Si1 0.500 0.500 0.500 (multiplicity 1)
F1 0.500 0.500 0.000 (multiplicity 1)

Output
Uncorrected energy = -3.75 eV/atom
Theoretical density = 3.91 g/cm3